1.
Material: ReW2Br
Method: DFT, PBE
State: optimized geometry

abc: 9.1050 9.1050 9.1050
angles: 18.74 18.74 18.74
Last column: nearest neighbours and their distance in Å.
Element x y z (fractional)
Re  0.0000  0.0000  0.0000  3 W 2.63
W  0.4928  0.4928  0.4928  3 Br 2.70, 9 W 2.85-2.96
W  0.7413  0.7413  0.7413  3 Re 2.63, 3 W 2.85
Br  0.2373  0.2373  0.2373  3 W 2.70, 6 Br 2.96

energy	-9.357	eV/atom
magnetic moment	0.0	μB per formula unit
energy above the most stable polymorph in this dataset	0.030	eV per atom

2.
Material: ReW2Br
Method: DFT, PBE
State: optimized geometry

abc: 3.0061 3.0373 7.8422
angles: 90.00 90.00 90.00
Last column: nearest neighbours and their distance in Å.
Element x y z (fractional)
Re  0.0000  0.0000  0.0000  8 W 2.70, 2 Re 3.01
W  0.5000  0.5000  0.2104  4 Re 2.70, 2 Br 2.72, 2 W 3.01
W  0.5000  0.5000  0.7896  4 Re 2.70, 2 Br 2.72, 2 W 3.01
Br  0.0000  0.5000  0.5000  4 W 2.72, 4 Br 3.01-3.04

energy	-9.375	eV/atom
magnetic moment	0.0	μB per formula unit
energy above the most stable polymorph in this dataset	0.011	eV per atom

3.
Material: ReWBr2
Method: DFT, PBE
State: optimized geometry

abc: 9.4882 9.4882 9.4882
angles: 161.06 160.31 27.45
Last column: nearest neighbours and their distance in Å.
Element x y z (fractional)
Re  0.0000  0.0000  0.0000  2 W 2.40
W  0.4037  0.9037  0.5000  2 Re 2.40
Br  0.6006  0.6006  0.0000  4 Re 2.92, 4 Br 3.12-3.24
Br  0.8047  0.3047  0.5000  4 W 2.90, 4 Br 3.12-3.24

energy	-6.615	eV/atom
magnetic moment	0.0	μB per formula unit
energy above the most stable polymorph in this dataset	0.404	eV per atom

4.
Material: ReWBr2
Method: DFT, PBE
State: optimized geometry

abc: 6.8157 6.8157 6.8157
angles: 130.70 130.70 72.29
Last column: nearest neighbours and their distance in Å.
Element x y z (fractional)
Re  0.0000  0.0000  0.0000  4 Br 2.42
Re  0.7500  0.2500  0.5000  4 Br 2.42
W  0.2500  0.7500  0.5000  4 Br 2.45
W  0.5000  0.5000  0.0000  4 Br 2.45
Br  0.1216  0.6250  0.9966  2 Re 2.42, 2 W 2.45
Br  0.3750  0.3716  0.4966  2 Re 2.42, 2 W 2.45
Br  0.6284  0.1250  0.0034  2 Re 2.42, 2 W 2.45
Br  0.8750  0.8784  0.5034  2 Re 2.42, 2 W 2.45

energy	-5.248	eV/atom
magnetic moment	0.0	μB per formula unit
energy above the most stable polymorph in this dataset	1.771	eV per atom

5.
Material: ReWBr2
Method: DFT, PBE
State: optimized geometry

abc: 3.3493 3.0615 8.8934
angles: 90.00 90.10 90.00
Last column: nearest neighbours and their distance in Å.
Element x y z (fractional)
Re  0.0000  0.0000  0.0000  2 Br 2.58, 4 W 2.66
W  0.4993  0.5000  0.8430  2 Br 2.57, 4 Re 2.66
Br  0.0006  0.5000  0.2333  2 Re 2.58
Br  0.4980  0.0000  0.6105  2 W 2.57

energy	-7.019	eV/atom
magnetic moment	0.0	μB per formula unit
energy above the most stable polymorph in this dataset	0.000	eV per atom

6.
Material: ReW2Br
Method: DFT, PBE
State: optimized geometry

abc: 3.0057 3.0057 7.1487
angles: 90.00 90.00 90.00
Last column: nearest neighbours and their distance in Å.
Element x y z (fractional)
Re  0.0000  0.0000  0.0000  8 W 2.73, 4 Re 3.01
W  0.5000  0.5000  0.2398  4 Re 2.73, 4 Br 2.82, 4 W 3.01
W  0.5000  0.5000  0.7602  4 Re 2.73, 4 Br 2.82, 4 W 3.01
Br  0.0000  0.0000  0.5000  8 W 2.82, 4 Br 3.01

energy	-9.375	eV/atom
magnetic moment	0.0	μB per formula unit
energy above the most stable polymorph in this dataset	0.011	eV per atom

7.
Material: ReW2Br
Method: DFT, PBE
State: optimized geometry

abc: 4.5397 4.5397 4.5397
angles: 60.00 60.00 60.00
Last column: nearest neighbours and their distance in Å.
Element x y z (fractional)
Re  0.0000  0.0000  0.0000  4 Br 2.78, 4 W 2.78
W  0.2500  0.2500  0.2500  4 W 2.78, 4 Re 2.78
W  0.5000  0.5000  0.5000  4 Br 2.78, 4 W 2.78
Br  0.7500  0.7500  0.7500  4 W 2.78, 4 Re 2.78

energy	-8.727	eV/atom
magnetic moment	0.0	μB per formula unit
energy above the most stable polymorph in this dataset	0.659	eV per atom

8.
Material: ReW2Br
Method: DFT, PBE
State: optimized geometry

abc: 5.0511 5.0511 2.8799
angles: 90.00 90.00 115.78
Last column: nearest neighbours and their distance in Å.
Element x y z (fractional)
Re  0.0000  0.0000  0.0000  2 Br 2.68, 2 Re 2.88, 8 W 2.91
W  0.0000  0.5000  0.5000  4 W 2.68-2.88, 4 Re 2.91, 4 Br 2.91
W  0.5000  0.0000  0.5000  4 W 2.68-2.88, 4 Br 2.91, 4 Re 2.91
Br  0.5000  0.5000  0.0000  2 Re 2.68, 2 Br 2.88, 8 W 2.91

energy	-8.795	eV/atom
magnetic moment	0.0	μB per formula unit
energy above the most stable polymorph in this dataset	0.591	eV per atom

9.
Material: ReW2Br
Method: DFT, PBE
State: optimized geometry

abc: 4.5247 4.5247 4.5247
angles: 60.00 60.00 60.00
Last column: nearest neighbours and their distance in Å.
Element x y z (fractional)
Re  0.0000  0.0000  0.0000  8 W 2.77
W  0.2500  0.2500  0.2500  4 Br 2.77, 4 Re 2.77
W  0.7500  0.7500  0.7500  4 Re 2.77, 4 Br 2.77
Br  0.5000  0.5000  0.5000  8 W 2.77

energy	-8.804	eV/atom
magnetic moment	0.0	μB per formula unit
energy above the most stable polymorph in this dataset	0.582	eV per atom

10.
Material: ReWBr4
Method: DFT, PBE
State: optimized geometry

abc: 6.0258 6.0258 6.0258
angles: 60.00 60.00 60.00
Last column: nearest neighbours and their distance in Å.
Element x y z (fractional)
Re  0.0000  0.0000  0.0000  12 Br 3.53, 4 W 3.69
W  0.7500  0.7500  0.7500  12 Br 3.53, 4 Re 3.69
Br  0.3751  0.3751  0.3751  6 Br 3.01-3.02
Br  0.3751  0.3751  0.8747  6 Br 3.01-3.02
Br  0.3751  0.8747  0.3751  6 Br 3.01-3.02
Br  0.8747  0.3751  0.3751  6 Br 3.01-3.02

energy	-3.140	eV/atom
magnetic moment	0.5	μB per formula unit

11.
Material: ReW2Br
Method: DFT, PBE
State: optimized geometry

abc: 2.8618 2.8618 9.2097
angles: 90.00 90.00 114.69
Last column: nearest neighbours and their distance in Å.
Element x y z (fractional)
Re  0.0000  0.0000  0.0000  4 W 2.64, 4 Re 2.86
W  0.5000  0.5000  0.2323  2 Re 2.64, 4 W 2.86, 2 Br 2.91
W  0.5000  0.5000  0.7677  2 Re 2.64, 4 W 2.86, 2 Br 2.91
Br  0.0000  0.0000  0.5000  6 Br 2.86-3.09, 4 W 2.91

energy	-9.188	eV/atom
magnetic moment	0.0	μB per formula unit
energy above the most stable polymorph in this dataset	0.199	eV per atom

12.
Material: ReW2Br
Method: DFT, PBE
State: optimized geometry

abc: 5.3809 5.3809 5.3809
angles: 147.36 129.69 61.27
Last column: nearest neighbours and their distance in Å.
Element x y z (fractional)
Re  0.0000  0.0000  0.0000  4 Br 2.74, 4 W 2.86, 2 Re 3.02
W  0.2617  0.7617  0.5000  2 Br 2.67, 4 W 2.75, 2 Re 2.86
W  0.7383  0.2383  0.5000  2 Br 2.67, 4 W 2.75, 2 Re 2.86
Br  0.5000  0.5000  0.0000  4 W 2.67, 4 Re 2.74

energy	-8.994	eV/atom
magnetic moment	0.0	μB per formula unit
energy above the most stable polymorph in this dataset	0.392	eV per atom